HoPa2Ge3, optimized geometry, DFT PBE-GGA; total magnetization = 0.012 μB/atom; energy of formation = -483.5 meV per atom; SG = P2_1/c, No. 14; V = 530.1 Å³ per cell; E = -6.720 eV/atom
1.0
6.040 -1.246 0.000
-2.072 5.952 0.000
0.000 0.000 15.888
Ge Ho Pa
12 4 8
Direct
0.755 0.879 0.416
0.254 0.633 0.585
0.250 0.621 0.249
0.245 0.621 0.916
0.245 0.121 0.584
0.755 0.379 0.084
0.746 0.867 0.085
0.250 0.121 0.251
0.750 0.379 0.751
0.254 0.133 0.915
0.746 0.367 0.415
0.750 0.879 0.749
0.747 0.589 0.580
0.747 0.089 0.920
0.253 0.911 0.080
0.253 0.411 0.420
0.250 0.913 0.752
0.250 0.413 0.748
0.249 0.906 0.418
0.249 0.406 0.082
0.751 0.094 0.582
0.750 0.087 0.248
0.751 0.594 0.918
0.750 0.587 0.252

---

HoPa3Ge5, optimized geometry, DFT PBE-GGA; total magnetization = 0.000 μB/atom; energy of formation = -547.1 meV per atom; SG = P6_3/mcm, No. 193; V = 393.7 Å³ per cell; E = -6.786 eV/atom
1.0
-1.073 5.601 1.704
0.325 2.599 -8.337
-7.601 -2.520 3.498
Pa Ho Ge
6 2 10
Direct
0.750 0.384 0.000
0.250 0.616 0.000
0.750 0.000 0.384
0.250 0.384 0.384
0.750 0.616 0.616
0.250 0.000 0.616
0.500 0.000 0.000
0.000 0.000 0.000
0.500 0.667 0.333
0.500 0.333 0.667
0.250 0.000 0.280
0.000 0.667 0.333
0.250 0.280 0.000
0.750 0.280 0.280
0.250 0.720 0.720
0.750 0.000 0.720
0.750 0.720 0.000
0.000 0.333 0.667

---

HoPaGe2, optimized geometry, DFT PBE-GGA; total magnetization = 0.000 μB/atom; polymorph energy (0 for the lowest one) = 139 meV/atom; energy of formation = -483.7 meV per atom; SG = P4/mmm, No. 123; V = 87.8 Å³ per cell; E = -6.311 eV/atom
1.0
3.332 0.000 0.000
0.000 3.332 0.000
0.000 0.000 7.908
Pa Ho Ge
1 1 2
Direct
0.500 0.500 0.000
0.500 0.500 0.500
0.000 0.000 0.251
0.000 0.000 0.749

---

Ho2PaGe, optimized geometry, DFT PBE-GGA; total magnetization = 0.000 μB/atom; polymorph energy (0 for the lowest one) = 0 meV/atom; energy of formation = -162.8 meV per atom; SG = P4/mmm, No. 123; V = 96.7 Å³ per cell; E = -5.980 eV/atom
1.0
4.467 0.000 0.000
0.000 4.652 0.000
0.000 0.000 4.652
Ho Ge Pa
2 1 1
Direct
0.000 0.000 0.500
0.000 0.500 0.000
0.500 0.000 0.000
0.500 0.500 0.500

---

HoPaGePt, optimized geometry, DFT PBE-GGA; total magnetization = 0.330 μB/atom; energy of formation = -621.0 meV per atom; SG = F-43m, No. 216; V = 88.8 Å³ per cell; E = -6.804 eV/atom
1.0
5.008 0.000 0.000
2.504 4.337 0.000
2.504 1.446 4.089
Pt Ho Ge Pa
1 1 1 1
Direct
0.500 0.500 0.500
0.750 0.750 0.750
0.000 0.000 0.000
0.250 0.250 0.250

---

HoPaTcGe, optimized geometry, DFT PBE-GGA; total magnetization = 0.000 μB/atom; energy of formation = -171.9 meV per atom; SG = F-43m, No. 216; V = 85.2 Å³ per cell; E = -7.436 eV/atom
1.0
4.940 0.000 0.000
2.470 4.278 0.000
2.470 1.426 4.033
Pa Ho Ge Tc
1 1 1 1
Direct
0.000 0.000 0.000
0.500 0.500 0.500
0.250 0.250 0.250
0.750 0.750 0.750

---

Q: Which formula does entry 2 have?
A: HoPa3Ge5

---

Q: Which of these has the highest energy of formation?
A: Ho2PaGe

---

Q: The highest energy of formation belongs to which entry?
A: Ho2PaGe